A plane-wave DFT calculation with GGA+U was carried out for crystalline MnTcO2F at its relaxed geometry.

Structure (CIF):
```
data_MnTcO2F
_chemical_formula_sum 'Mn1 Tc1 O2 F1'
_cell_length_a 3.883
_cell_length_b 3.883
_cell_length_c 4.342
_cell_angle_alpha 90.00
_cell_angle_beta 90.00
_cell_angle_gamma 90.00
_space_group_name_H-M_alt 'P 4/m m m'
_space_group_IT_number 123
_space_group_name_Hall '-P 4 2'
loop_
_atom_site_label
_atom_site_type_symbol
_atom_site_fract_x
_atom_site_fract_y
_atom_site_fract_z
Mn1 Mn 0.000 0.000 0.000
Tc1 Tc 0.500 0.500 0.500
O1 O 0.000 0.500 0.500
F1 F 0.500 0.500 0.000
```

raw total energy = -34.7 eV for the cell shown
theoretical density = 5.2 Mg/m³